DFT (GGA+U) results for a relaxed structure of Li2CdNiF8.

a b c (Å): 5.8128 5.8128 5.8128
angles (deg): 113.23 113.23 102.18
Closest atoms and distances in Å follow each position.
Positions (direct):
Li  0.7500  0.2500  0.5000  4 F 1.86
Li  0.5000  0.5000  0.0000  4 F 2.05
Cd  0.0000  0.0000  0.0000  4 F 2.10
Ni  0.2500  0.7500  0.5000  4 F 1.85
F  0.3715  0.0480  0.3235  1 Li 1.86
F  0.2915  0.5054  0.2139  1 Ni 1.85, 1 Li 2.05
F  0.2915  0.0776  0.7861  1 Ni 1.85, 1 Li 2.05
F  0.7245  0.0480  0.6765  1 Li 1.86
F  0.9224  0.7085  0.2139  1 Ni 1.85, 1 Li 2.05
F  0.9520  0.2755  0.3235  1 Li 1.86
F  0.9520  0.6285  0.6765  1 Li 1.86
F  0.4946  0.7085  0.7861  1 Ni 1.85, 1 Li 2.05

Computed properties:
- calculated volume (A^3/atom) = 12.4
- E (eV/atom) = -3.83